# 1
A plane-wave DFT calculation with PBE was carried out for crystalline Tb7SI12 at its relaxed geometry.

Calculated values
Density of states at the Fermi level, states/eV/cell: 3.3
Volume, Å³/f.u.: 731
Uncorrected formation energy, meV/atom: -1353

Cell: 9.668 9.668 9.668 Å, 108.01 108.01 108.01°
Element x y z (fractional)
Tb: 0.965 0.700 0.897
Tb: 0.300 0.103 0.035
Tb: 0.103 0.035 0.300
Tb: 0.500 0.500 0.500
Tb: 0.897 0.965 0.700
Tb: 0.700 0.897 0.965
Tb: 0.035 0.300 0.103
S: 0.000 0.000 0.000
I: 0.922 0.312 0.774
I: 0.688 0.226 0.078
I: 0.469 0.152 0.388
I: 0.848 0.612 0.531
I: 0.226 0.078 0.688
I: 0.612 0.531 0.848
I: 0.388 0.469 0.152
I: 0.774 0.922 0.312
I: 0.152 0.388 0.469
I: 0.531 0.848 0.612
I: 0.312 0.774 0.922
I: 0.078 0.688 0.226


# 2
A plane-wave DFT calculation with PBE was carried out for crystalline Tb2S2I at its relaxed geometry.

Calculated values
Density of states at the Fermi level, states/eV/cell: 1.9
Volume, Å³/f.u.: 151
Uncorrected formation energy, meV/atom: -1763

Cell: 4.253 5.437 7.404 Å, 111.54 106.69 90.00°
Element x y z (fractional)
Tb: 0.691 0.191 0.383
Tb: 0.309 0.809 0.617
S: 0.316 0.316 0.633
S: 0.684 0.684 0.367
I: 0.000 0.000 0.000


# 3
A plane-wave DFT calculation with PBE was carried out for crystalline TbSI at its relaxed geometry.

Calculated values
Density of states at the Fermi level, states/eV/cell: 0.4
Volume, Å³/f.u.: 91
Uncorrected formation energy, meV/atom: -1438

Cell: 3.640 3.640 7.363 Å, 104.31 104.31 90.00°
Element x y z (fractional)
I: 0.031 0.031 0.063
S: 0.276 0.276 0.552
Tb: 0.693 0.693 0.385


# 4
A plane-wave DFT calculation with PBE was carried out for crystalline Tb6S8I at its relaxed geometry.

Calculated values
Density of states at the Fermi level, states/eV/cell: 3.4
Volume, Å³/f.u.: 412
Uncorrected formation energy, meV/atom: -1890

Cell: 4.024 10.876 10.876 Å, 120.00 90.00 90.00°
Element x y z (fractional)
Tb: 0.746 0.535 0.674
Tb: 0.746 0.326 0.861
Tb: 0.746 0.139 0.465
Tb: 0.254 0.465 0.326
Tb: 0.254 0.674 0.139
Tb: 0.254 0.861 0.535
S: 0.755 0.612 0.951
S: 0.755 0.049 0.660
S: 0.755 0.340 0.388
S: 0.245 0.388 0.049
S: 0.245 0.951 0.340
S: 0.245 0.660 0.612
S: 0.752 0.667 0.333
S: 0.248 0.333 0.667
I: 0.500 0.000 0.000


# 5
A plane-wave DFT calculation with PBE was carried out for crystalline TcSI3 at its relaxed geometry.

Calculated values
Density of states at the Fermi level, states/eV/cell: 8.6
Offset from the most stable computed form, meV/atom: 1184
Volume, Å³/f.u.: 171
Uncorrected formation energy, meV/atom: 1086

Cell: 5.546 5.546 5.546 Å, 90.00 90.00 90.00°
Element x y z (fractional)
I: 0.000 0.500 0.000
I: 0.000 0.000 0.500
I: 0.500 0.000 0.000
S: 0.000 0.000 0.000
Tc: 0.500 0.500 0.500


# 6
A plane-wave DFT calculation with PBE was carried out for crystalline TcSI at its relaxed geometry.

Calculated values
Density of states at the Fermi level, states/eV/cell: 7.0
Offset from the most stable computed form, meV/atom: 85
Volume, Å³/f.u.: 85
Uncorrected formation energy, meV/atom: -212

Cell: 7.958 3.494 12.783 Å, 90.00 107.41 90.00°
Element x y z (fractional)
I: 0.247 0.000 0.370
I: 0.247 0.500 0.870
I: 0.771 0.000 0.838
I: 0.771 0.500 0.338
S: 0.674 0.000 0.079
S: 0.674 0.500 0.579
S: 0.096 0.000 0.621
S: 0.096 0.500 0.121
Tc: 0.967 0.000 0.185
Tc: 0.967 0.500 0.685
Tc: 0.809 0.000 0.519
Tc: 0.809 0.500 0.019


# 7
A plane-wave DFT calculation with PBE was carried out for crystalline TcSI at its relaxed geometry.

Calculated values
Density of states at the Fermi level, states/eV/cell: 2.7
Offset from the most stable computed form, meV/atom: 304
Volume, Å³/f.u.: 86
Uncorrected formation energy, meV/atom: 8

Cell: 3.881 6.759 7.015 Å, 102.32 89.99 106.76°
Element x y z (fractional)
Tc: 0.400 0.300 0.534
Tc: 0.600 0.700 0.466
I: 0.813 0.127 0.716
I: 0.187 0.873 0.284
S: 0.555 0.607 0.755
S: 0.445 0.393 0.245


# 8
A plane-wave DFT calculation with PBE was carried out for crystalline TcSI at its relaxed geometry.

Calculated values
Density of states at the Fermi level, states/eV/cell: 7.0
Offset from the most stable computed form, meV/atom: 56
Volume, Å³/f.u.: 90
Uncorrected formation energy, meV/atom: -240

Cell: 9.401 3.609 14.074 Å, 90.00 130.76 90.00°
Element x y z (fractional)
I: 0.918 0.000 0.362
I: 0.918 0.500 0.862
I: 0.640 0.000 0.950
I: 0.640 0.500 0.450
S: 0.044 0.000 0.665
S: 0.044 0.500 0.165
S: 0.349 0.000 0.127
S: 0.349 0.500 0.627
Tc: 0.328 0.000 0.719
Tc: 0.328 0.500 0.219
Tc: 0.048 0.000 0.058
Tc: 0.048 0.500 0.558


# 9
A plane-wave DFT calculation with PBE was carried out for crystalline TcSI2 at its relaxed geometry.

Calculated values
Density of states at the Fermi level, states/eV/cell: 4.7
Offset from the most stable computed form, meV/atom: 251
Volume, Å³/f.u.: 87
Uncorrected formation energy, meV/atom: 1073

Cell: 4.969 4.969 4.969 Å, 60.00 60.00 60.00°
Element x y z (fractional)
I: 0.250 0.250 0.250
I: 0.750 0.750 0.750
S: 0.000 0.000 0.000
Tc: 0.500 0.500 0.500


# 10
A plane-wave DFT calculation with PBE was carried out for crystalline TcSI at its relaxed geometry.

Calculated values
Offset from the most stable computed form, meV/atom: 202
Volume, Å³/f.u.: 81
Uncorrected formation energy, meV/atom: -95

Cell: 3.720 3.720 7.004 Å, 87.76 75.58 60.00°
Element x y z (fractional)
I: 0.198 0.742 0.474
S: 0.100 0.321 0.066
Tc: 0.700 0.013 0.183


# 11
A plane-wave DFT calculation with PBE was carried out for crystalline TcSI at its relaxed geometry.

Calculated values
Density of states at the Fermi level, states/eV/cell: 1.0
Offset from the most stable computed form, meV/atom: 37
Volume, Å³/f.u.: 81
Uncorrected formation energy, meV/atom: -260

Cell: 3.287 6.742 7.842 Å, 73.92 89.03 75.95°
Element x y z (fractional)
I: 0.482 0.554 0.765
I: 0.518 0.446 0.235
S: 0.255 0.972 0.215
S: 0.745 0.028 0.785
Tc: 0.332 0.837 0.974
Tc: 0.668 0.163 0.026


# 12
A plane-wave DFT calculation with PBE was carried out for crystalline TcS3I at its relaxed geometry.

Calculated values
Density of states at the Fermi level, states/eV/cell: 4.3
Offset from the most stable computed form, meV/atom: 0
Volume, Å³/f.u.: 103
Uncorrected formation energy, meV/atom: 281

Cell: 4.684 4.684 4.684 Å, 90.00 90.00 90.00°
Element x y z (fractional)
I: 0.500 0.500 0.500
S: 0.000 0.500 0.000
S: 0.000 0.000 0.500
S: 0.500 0.000 0.000
Tc: 0.000 0.000 0.000


# 13
A plane-wave DFT calculation with PBE was carried out for crystalline TcSI3 at its relaxed geometry.

Calculated values
Density of states at the Fermi level, states/eV/cell: 6.4
Offset from the most stable computed form, meV/atom: 0
Volume, Å³/f.u.: 197
Uncorrected formation energy, meV/atom: -98

Cell: 7.768 8.531 13.395 Å, 88.88 87.54 62.92°
Element x y z (fractional)
Tc: 0.987 0.923 0.152
Tc: 0.090 0.923 0.348
Tc: 0.013 0.077 0.848
Tc: 0.910 0.077 0.652
S: 0.271 0.708 0.226
S: 0.022 0.708 0.274
S: 0.729 0.292 0.774
S: 0.978 0.292 0.726
I: 0.785 0.206 0.024
I: 0.009 0.206 0.476
I: 0.215 0.794 0.976
I: 0.991 0.794 0.524
I: 0.769 0.771 0.076
I: 0.460 0.771 0.424
I: 0.231 0.229 0.924
I: 0.540 0.229 0.576
I: 0.709 0.116 0.292
I: 0.176 0.116 0.208
I: 0.291 0.884 0.708
I: 0.824 0.884 0.792


# 14
A plane-wave DFT calculation with PBE was carried out for crystalline TcSI at its relaxed geometry.

Calculated values
Density of states at the Fermi level, states/eV/cell: 3.0
Offset from the most stable computed form, meV/atom: 299
Volume, Å³/f.u.: 79
Uncorrected formation energy, meV/atom: 2

Cell: 6.865 3.289 7.038 Å, 90.00 93.00 90.00°
Element x y z (fractional)
I: 0.471 0.000 0.751
I: 0.471 0.500 0.251
S: 0.956 0.000 0.474
S: 0.956 0.500 0.974
Tc: 0.849 0.000 0.772
Tc: 0.849 0.500 0.272


# 15
A plane-wave DFT calculation with PBE was carried out for crystalline TcSI at its relaxed geometry.

Calculated values
Density of states at the Fermi level, states/eV/cell: 2.7
Offset from the most stable computed form, meV/atom: 0
Volume, Å³/f.u.: 79
Uncorrected formation energy, meV/atom: -297

Cell: 3.550 6.207 7.186 Å, 94.04 91.10 90.01°
Element x y z (fractional)
I: 0.242 0.412 0.780
I: 0.758 0.588 0.220
S: 0.258 0.091 0.215
S: 0.742 0.909 0.785
Tc: 0.249 0.824 0.980
Tc: 0.751 0.176 0.020


# 16
A plane-wave DFT calculation with PBE was carried out for crystalline TcSI at its relaxed geometry.

Calculated values
Density of states at the Fermi level, states/eV/cell: 3.6
Offset from the most stable computed form, meV/atom: 82
Volume, Å³/f.u.: 100
Uncorrected formation energy, meV/atom: -215

Cell: 3.545 7.795 7.252 Å, 95.19 90.00 90.01°
Element x y z (fractional)
Tc: 0.750 0.104 0.923
Tc: 0.250 0.896 0.077
S: 0.750 0.812 0.887
S: 0.250 0.188 0.113
I: 0.750 0.286 0.641
I: 0.250 0.714 0.359


# 17
A plane-wave DFT calculation with PBE was carried out for crystalline Tc2SI at its relaxed geometry.

Calculated values
Density of states at the Fermi level, states/eV/cell: 3.7
Offset from the most stable computed form, meV/atom: 258
Volume, Å³/f.u.: 64
Uncorrected formation energy, meV/atom: 700

Cell: 4.501 4.501 4.501 Å, 60.00 60.00 60.00°
Element x y z (fractional)
I: 0.500 0.500 0.500
S: 0.000 0.000 0.000
Tc: 0.250 0.250 0.250
Tc: 0.750 0.750 0.750


# 18
A plane-wave DFT calculation with PBE was carried out for crystalline Tc2SI at its relaxed geometry.

Calculated values
Density of states at the Fermi level, states/eV/cell: 3.0
Offset from the most stable computed form, meV/atom: 0
Volume, Å³/f.u.: 87
Uncorrected formation energy, meV/atom: 442

Cell: 5.484 5.484 6.942 Å, 66.74 66.74 90.00°
Element x y z (fractional)
I: 0.000 0.000 0.000
I: 0.750 0.250 0.500
S: 0.500 0.500 0.000
S: 0.250 0.750 0.500
Tc: 0.562 0.125 0.250
Tc: 0.188 0.625 0.250
Tc: 0.375 0.438 0.750
Tc: 0.875 0.812 0.750


# 19
A plane-wave DFT calculation with PBE was carried out for crystalline TcS3I at its relaxed geometry.

Calculated values
Density of states at the Fermi level, states/eV/cell: 1.8
Offset from the most stable computed form, meV/atom: 1177
Volume, Å³/f.u.: 129
Uncorrected formation energy, meV/atom: 1459

Cell: 5.057 5.057 5.057 Å, 90.00 90.00 90.00°
Element x y z (fractional)
I: 0.000 0.000 0.000
S: 0.000 0.500 0.000
S: 0.000 0.000 0.500
S: 0.500 0.000 0.000
Tc: 0.500 0.500 0.500


# 20
A plane-wave DFT calculation with PBE was carried out for crystalline TcSI2 at its relaxed geometry.

Calculated values
Density of states at the Fermi level, states/eV/cell: 11.7
Offset from the most stable computed form, meV/atom: 0
Volume, Å³/f.u.: 119
Uncorrected formation energy, meV/atom: 822

Cell: 7.111 7.111 6.882 Å, 58.90 58.90 90.00°
Element x y z (fractional)
I: 0.673 0.125 0.250
I: 0.077 0.625 0.250
I: 0.375 0.327 0.750
I: 0.875 0.923 0.750
S: 0.500 0.500 0.000
S: 0.250 0.750 0.500
Tc: 0.000 0.000 0.000
Tc: 0.750 0.250 0.500